# 1
First-principles (PBE-GGA) data for crystalline Re2Os3Rh3 at its relaxed geometry, as listed in the Alexandria database.

Lattice parameters (Å, degrees): 7.2876 7.2876 7.7777 90.00 90.00 120.00
Space group R32 (No. 155, hexagonal axes)
Unique sites:
Re (0.0000, 0.0000, 0.2185) [6 per cell]
Os (0.0000, 0.7020, 0.0000) [9 per cell]
Rh (0.0000, 0.2815, 0.5000) [9 per cell]

Properties
V = 357.73 Å³ per cell
M_tot = 0.000 μB per atom
formation energy = 0.2146 eV/atom

***

# 2
First-principles (PBE-GGA) data for crystalline ReOsRh4 at its relaxed geometry, as listed in the Alexandria database.

Lattice parameters (Å, degrees): 7.080 7.080 7.080 90.00 90.00 90.00
Space group F-43m (No. 216)
Unique sites:
Re (0.000, 0.000, 0.000) [4 per cell]
Os (0.250, 0.250, 0.250) [4 per cell]
Rh (0.125, 0.125, 0.625) [16 per cell]

Properties
V = 354.87 Å³ per cell
M_tot = 0.000 μB per atom
formation energy = 0.5370 eV/atom
energy above the most stable polymorph in this dataset = 32.0 kJ per mole of atoms

***

# 3
First-principles (PBE-GGA) data for crystalline Re4OsRh at its relaxed geometry, as listed in the Alexandria database.

Lattice parameters (Å, degrees): 4.778 8.285 4.768 90.00 110.22 90.00
Space group C2/m (No. 12)
Unique sites:
Re (0.000, 0.167, 0.000) [4 per cell]
Re (0.000, 0.331, 0.500) [4 per cell]
Os (0.000, 0.000, 0.500) [2 per cell]
Rh (0.000, 0.500, 0.000) [2 per cell]

Properties
V = 177.09 Å³ per cell
M_tot = 0.000 μB per atom
formation energy = 0.0163 eV/atom
energy above the most stable polymorph in this dataset = 0.0 kJ per mole of atoms

***

# 4
First-principles (PBE-GGA) data for crystalline ReOsRh4 at its relaxed geometry, as listed in the Alexandria database.

Lattice parameters (Å, degrees): 5.561 5.061 6.487 90.00 100.43 90.00
Space group P2_1/m (No. 11)
Unique sites:
Re (0.070, 0.250, 0.458) [2 per cell]
Os (0.296, 0.250, 0.169) [2 per cell]
Rh (0.110, 0.750, 0.089) [2 per cell]
Rh (0.298, 0.003, 0.799) [4 per cell]
Rh (0.410, 0.750, 0.451) [2 per cell]

Properties
V = 179.55 Å³ per cell
M_tot = 0.000 μB per atom
formation energy = 0.2054 eV/atom
energy above the most stable polymorph in this dataset = 0.0 kJ per mole of atoms

***

# 5
First-principles (PBE-GGA) data for crystalline ReOsRh3 at its relaxed geometry, as listed in the Alexandria database.

Lattice parameters (Å, degrees): 4.663 4.663 4.663 90.00 90.00 90.00
Space group Pm-3m (No. 221)
Unique sites:
Re (0.000, 0.000, 0.000) [1 per cell]
Os (0.500, 0.500, 0.500) [1 per cell]
Rh (0.000, 0.500, 0.500) [3 per cell]

Properties
V = 101.41 Å³ per cell
M_tot = 0.852 μB per atom
formation energy = 1.9821 eV/atom
energy above the most stable polymorph in this dataset = 169.2 kJ per mole of atoms

***

# 6
First-principles (PBE-GGA) data for crystalline ReOsRhSe2 at its relaxed geometry, as listed in the Alexandria database.

Lattice parameters (Å, degrees): 4.692 4.692 4.737 90.00 90.00 90.00
Space group P4/mmm (No. 123)
Unique sites:
Re (0.000, 0.000, 0.000) [1 per cell]
Os (0.500, 0.500, 0.500) [1 per cell]
Rh (0.000, 0.000, 0.500) [1 per cell]
Se (0.000, 0.500, 0.000) [2 per cell]

Properties
V = 104.26 Å³ per cell
M_tot = 0.003 μB per atom
raw formation energy = 1.729 eV per atom